A plane-wave DFT calculation with PBE was carried out for a relaxed Ca3ZnGa2 crystal.

Cell: 3.694 3.694 10.905 Å, 90.00 90.00 90.00°
Positions (direct):
Ca  0.000  0.000  0.000
Ca  0.000  0.000  0.668
Ca  0.000  0.000  0.332
Zn  0.500  0.500  0.500
Ga  0.500  0.500  0.835
Ga  0.500  0.500  0.165

Properties
Distance to the lowest polymorph of the same formula: 0.000 eV/atom
DOS at the Fermi energy: 3.117 states/eV per cell
Magnetic moment: 0.00 μB per cell